# Th3Sc4Ge4

An optimized crystal structure of Th3Sc4Ge4 (GGA-PBE, Alexandria via LeMat-Bulk).

Cell: 8.873 8.873 8.873 Å, 153.32 122.30 64.67°
Sites, in units of the cell vectors:
1 Th 0.000 0.000 0.000
2 Th 0.392 0.892 0.500
3 Th 0.608 0.108 0.500
4 Sc 0.015 0.326 0.690
5 Sc 0.364 0.674 0.690
6 Sc 0.636 0.326 0.310
7 Sc 0.985 0.674 0.310
8 Ge 0.237 0.237 0.000
9 Ge 0.285 0.500 0.785
10 Ge 0.715 0.500 0.215
11 Ge 0.763 0.763 0.000

Summary:
mass density	7.4	g/cm3
SG	Immm (71)
formation energy	-7.32	eV per formula unit
V	263	Å³/cell

# ThScGe2

An optimized crystal structure of ThScGe2 (GGA-PBE, Alexandria via LeMat-Bulk).

Cell: 3.381 5.374 5.374 Å, 74.65 90.00 90.00°
Sites, in units of the cell vectors:
1 Th 0.000 0.000 0.000
2 Sc 0.500 0.564 0.564
3 Ge 0.500 0.078 0.485
4 Ge 0.500 0.485 0.078

Summary:
mass density	7.4	g/cm3
SG	Amm2 (38)
ΔE to the lowest computed polymorph	232	meV/atom
formation energy	-1.91	eV per formula unit
V	94	Å³/cell

# Th3Sc2Ge4

An optimized crystal structure of Th3Sc2Ge4 (GGA-PBE, Alexandria via LeMat-Bulk).

Cell: 6.549 6.549 9.131 Å, 111.53 111.53 37.49°
Sites, in units of the cell vectors:
1 Th 0.000 0.000 0.000
2 Th 0.384 0.384 0.291
3 Th 0.616 0.616 0.709
4 Sc 0.318 0.318 0.651
5 Sc 0.682 0.682 0.349
6 Ge 0.082 0.082 0.432
7 Ge 0.292 0.292 0.931
8 Ge 0.708 0.708 0.069
9 Ge 0.918 0.918 0.568

Summary:
mass density	8.1	g/cm3
SG	C2/m (12)
formation energy	-5.89	eV per formula unit
V	220	Å³/cell

# Th2ScGe

An optimized crystal structure of Th2ScGe (GGA-PBE, Alexandria via LeMat-Bulk).

Cell: 10.467 10.467 10.467 Å, 20.80 20.80 20.80°
Sites, in units of the cell vectors:
1 Th 0.104 0.104 0.104
2 Th 0.896 0.896 0.896
3 Sc 0.000 0.000 0.000
4 Ge 0.500 0.500 0.500

Summary:
mass density	7.6	g/cm3
SG	R-3m (166)
formation energy	0.79	eV per formula unit
V	127	Å³/cell

# ThSc2Ge2

An optimized crystal structure of ThSc2Ge2 (GGA-PBE, Alexandria via LeMat-Bulk).

Cell: 7.172 7.172 5.948 Å, 111.00 111.00 98.52°
Sites, in units of the cell vectors:
1 Th 0.122 0.878 0.750
2 Th 0.878 0.122 0.250
3 Sc 0.220 0.435 0.002
4 Sc 0.435 0.220 0.502
5 Sc 0.565 0.780 0.498
6 Sc 0.780 0.565 0.998
7 Ge 0.168 0.832 0.250
8 Ge 0.394 0.606 0.750
9 Ge 0.606 0.394 0.250
10 Ge 0.832 0.168 0.750

Summary:
mass density	6.1	g/cm3
SG	C2/c (15)
formation energy	-2.24	eV per formula unit
V	253	Å³/cell

# ThScGe2

An optimized crystal structure of ThScGe2 (GGA-PBE, Alexandria via LeMat-Bulk).

Cell: 4.388 6.264 7.103 Å, 90.00 90.00 90.00°
Sites, in units of the cell vectors:
1 Th 0.250 0.250 0.113
2 Th 0.750 0.750 0.887
3 Sc 0.250 0.750 0.424
4 Sc 0.750 0.250 0.576
5 Ge 0.250 0.031 0.731
6 Ge 0.250 0.469 0.731
7 Ge 0.750 0.531 0.269
8 Ge 0.750 0.969 0.269

Summary:
mass density	7.2	g/cm3
SG	Pmmn (59)
ΔE to the lowest computed polymorph	0	meV/atom
formation energy	-2.84	eV per formula unit
V	195	Å³/cell

Question: formation energy of number 5 (ThSc2Ge2)?
Answer: -2.24 eV per formula unit

Question: Look up the formation energy of the fifth one.
Answer: -2.24 eV per formula unit